Material: SiPt3W
Method: DFT, PBE
State: optimized geometry

Unit cell a=4.856 b=4.856 c=4.856 alpha=90.00 beta=90.00 gamma=90.00
Space group Pm-3m (No. 221)
Symmetry-distinct sites (fractional):
Si1 0.000 0.000 0.000 [1 per cell]
Pt1 0.000 0.500 0.500 [3 per cell]
W1 0.500 0.500 0.500 [1 per cell]

## Properties
Spin magnetization in μB per atom: 0.000
D(E_F) in states/eV/atom: 0.745
Energy relative to the lowest polymorph listed for this composition in meV/atom: 531
Total energy in eV per atom: -6.0299

---

Material: AsRuPb2
Method: DFT, PBE
State: optimized geometry

Unit cell a=3.302 b=3.318 c=8.024 alpha=90.00 beta=90.45 gamma=90.00
Space group P2/m (No. 10)
Symmetry-distinct sites (fractional):
As1 0.000 0.000 0.000 [1 per cell]
Ru1 0.000 0.000 0.500 [1 per cell]
Pb1 0.496 0.500 0.284 [2 per cell]

## Properties
Spin magnetization in μB per atom: 0.000
D(E_F) in states/eV/atom: 0.829
Total energy in eV per atom: -4.9023

---

Material: BaTaCo2
Method: DFT, PBE
State: optimized geometry

Unit cell a=4.1058 b=4.1058 c=18.9063 alpha=90.00 beta=90.00 gamma=120.00
Space group R3m (No. 160, hexagonal axes)
Symmetry-distinct sites (fractional):
Ba1 0.0000 0.0000 0.0000 [3 per cell]
Ta1 0.0000 0.0000 0.8166 [3 per cell]
Co1 0.0000 0.0000 0.1982 [3 per cell]
Co2 0.0000 0.0000 0.5282 [3 per cell]

## Properties
Spin magnetization in μB per atom: 0.377
D(E_F) in states/eV/atom: 1.087
Energy relative to the lowest polymorph listed for this composition in meV/atom: 105
Total energy in eV per atom: -6.6254

---

Material: Pr3NdSm2S6
Method: DFT, PBE
State: optimized geometry

Unit cell a=7.029 b=12.213 c=7.052 alpha=90.00 beta=109.46 gamma=90.00
Space group C2/m (No. 12)
Symmetry-distinct sites (fractional):
Pr1 0.000 0.000 0.000 [2 per cell]
Pr2 0.000 0.335 0.000 [4 per cell]
Nd1 0.000 0.500 0.500 [2 per cell]
Sm1 0.000 0.167 0.500 [4 per cell]
S1 0.244 0.000 0.742 [4 per cell]
S2 0.249 0.332 0.743 [8 per cell]

## Properties
Spin magnetization in μB per atom: 0.000
D(E_F) in states/eV/atom: 0.441
Total energy in eV per atom: -6.4692